PrHO PBE-GGA relaxed; space-group type = No. 216; uncorrected energy = -19.47 eV per cell; offset from the most stable computed form = 0 meV per atom
1.0
2.316 0.589 3.139
-0.593 -2.070 3.305
2.593 -2.768 1.086
Pr O H
1 1 1
Cartesian
2.158 -2.124 3.765
1.079 -1.062 1.882
3.237 -3.186 5.647

PrH3O3 PBE-GGA relaxed; space-group type = No. 176; uncorrected energy = -86.19 eV per cell; offset from the most stable computed form = 0 meV per atom
1.0
-3.801 0.050 5.155
6.302 -0.919 0.677
0.503 3.699 0.335
H O Pr
6 6 2
Cartesian
3.062 2.015 4.606
5.317 1.987 1.524
1.447 0.296 5.033
-2.313 0.843 4.644
-0.058 0.816 1.561
1.557 2.534 1.134
4.436 2.142 1.139
-1.432 0.689 5.028
1.657 2.433 2.097
3.843 1.961 4.027
-0.838 0.870 2.140
1.347 0.397 4.070
3.060 0.329 2.254
-0.056 2.502 3.914

PrHO PBE-GGA relaxed; space-group type = No. 129; uncorrected energy = -155.56 eV per cell; offset from the most stable computed form = 7 meV per atom
1.0
-1.778 -5.904 -4.982
5.805 -4.395 3.136
-3.595 -2.077 3.744
H Pr O
8 8 8
Cartesian
3.334 -3.724 3.222
-2.255 -5.517 1.035
0.633 -7.267 -1.337
1.596 -4.070 1.362
-3.993 -5.862 -0.825
0.673 -1.709 1.785
-3.178 -3.157 1.459
0.889 -7.897 2.734
-1.064 -3.053 -2.309
-1.680 -6.565 -1.081
2.013 -5.149 -0.923
1.222 -8.762 0.487
2.111 -5.810 2.978
-0.517 -4.173 5.129
-0.791 -3.613 1.410
0.000 0.000 0.000
-2.275 -5.043 -2.856
-0.247 -5.307 3.040
-1.085 -8.087 0.694
1.759 -4.908 5.188
-1.313 -2.583 3.529
-1.334 -1.919 -0.220
-0.269 -4.643 -0.708
2.464 -6.713 0.769

PrSiHO4 PBE-GGA relaxed; space-group type = No. 62; uncorrected energy = -621.92 eV per cell; offset from the most stable computed form = 53 meV per atom
1.0
0.000 13.173 0.000
0.000 0.000 16.032
4.438 0.000 0.000
O H Si Pr
48 12 12 12
Cartesian
4.072 2.617 14.145
3.331 12.221 7.893
1.489 7.398 2.674
0.730 0.811 2.674
1.547 1.076 13.389
1.107 0.952 8.139
2.892 12.097 2.643
0.278 3.131 4.008
1.547 1.076 10.659
0.366 10.556 6.129
3.766 5.510 5.373
3.327 5.634 7.893
1.958 3.352 14.986
4.160 10.042 12.024
0.262 9.938 14.986
1.489 7.398 5.342
0.366 10.556 1.887
0.262 9.938 9.062
1.758 11.281 12.024
4.072 2.617 9.903
1.853 3.970 6.129
1.107 0.952 15.909
3.977 8.478 4.008
0.673 7.663 13.389
3.708 12.362 13.358
3.708 12.362 10.690
2.950 5.776 13.358
3.327 5.634 0.123
1.958 3.352 9.062
4.177 3.235 1.046
1.853 3.970 1.887
1.112 7.539 8.139
2.681 1.892 4.008
1.112 7.539 15.909
2.950 5.776 10.690
1.941 9.718 4.008
4.177 3.235 6.970
2.481 9.821 6.970
2.586 9.203 14.145
0.673 7.663 10.659
0.462 4.695 12.024
0.730 0.811 5.342
2.892 12.097 5.373
2.586 9.203 9.903
2.481 9.821 1.046
3.766 5.510 2.643
2.497 3.455 12.024
3.331 12.221 0.123
1.494 3.742 12.024
3.713 2.845 4.008
3.672 9.691 9.379
2.986 3.105 9.379
2.944 9.431 4.008
0.767 3.482 1.364
1.453 10.068 1.364
3.672 9.691 14.668
0.767 3.482 6.652
2.986 3.105 14.668
0.725 10.328 12.024
1.453 10.068 6.652
1.169 8.596 14.655
1.050 2.010 14.655
3.269 4.577 1.376
1.148 8.283 4.008
3.367 11.477 12.024
3.388 11.163 1.376
3.388 11.163 6.639
1.169 8.596 9.392
3.269 4.577 6.639
1.071 1.696 4.008
1.050 2.010 9.392
3.290 4.890 12.024
3.673 7.679 1.495
1.451 5.208 4.008
2.988 7.965 12.024
2.985 1.093 1.495
3.673 7.679 6.521
0.766 5.494 9.511
3.670 1.379 12.024
0.768 11.794 4.008
1.454 12.080 14.537
2.985 1.093 6.521
1.454 12.080 9.511
0.766 5.494 14.537

PrSiHO4 PBE-GGA relaxed; space-group type = No. 61; uncorrected energy = -835.22 eV per cell; offset from the most stable computed form = 0 meV per atom
1.0
7.915 0.000 0.000
0.000 9.062 0.000
0.000 0.000 17.815
H Pr O Si
16 16 64 16
Cartesian
1.571 8.242 5.027
3.490 3.306 17.771
5.529 5.351 12.788
2.386 3.711 5.027
6.343 0.820 12.788
7.447 3.306 8.951
6.343 3.711 3.881
1.571 5.351 13.934
4.424 5.755 0.044
5.529 8.242 3.881
4.424 7.837 8.951
3.490 1.224 8.863
0.467 7.837 17.771
2.386 0.820 13.934
7.447 1.224 0.044
0.467 5.755 8.863
1.006 2.940 2.232
1.006 1.590 11.139
5.026 1.669 2.085
6.908 7.471 6.676
2.889 7.392 15.730
4.964 2.940 6.676
6.846 7.392 10.992
2.951 6.121 11.139
2.951 7.471 2.232
1.068 1.669 6.823
5.026 2.862 10.992
6.846 6.200 2.085
6.908 6.121 15.583
2.889 6.200 6.823
4.964 1.590 15.583
1.068 2.862 15.730
6.716 0.983 10.214
6.203 3.561 8.885
4.379 4.517 12.645
6.462 5.806 12.924
7.493 4.545 3.738
7.285 1.213 2.989
1.452 1.275 13.798
5.669 8.092 8.885
1.198 5.514 16.509
5.156 5.514 10.214
5.409 3.255 4.017
3.536 9.048 14.077
6.462 7.786 4.017
3.536 4.545 5.170
7.237 1.145 15.115
0.421 4.517 14.077
2.758 0.896 1.508
6.716 3.548 1.306
1.452 3.255 4.891
5.669 5.501 17.792
2.759 3.548 7.601
4.587 5.744 2.989
4.587 7.848 11.896
4.635 7.917 6.208
0.678 7.917 2.700
1.712 5.501 8.930
4.567 2.986 17.698
7.305 6.076 8.790
6.716 3.635 16.307
2.758 3.635 10.416
3.347 7.517 9.025
5.156 5.427 7.399
3.328 3.318 14.826
2.246 0.970 8.930
7.305 7.517 17.698
7.285 3.318 11.896
7.493 9.048 12.645
2.759 0.983 16.509
0.678 5.676 11.607
7.237 3.386 6.208
1.199 5.427 1.508
5.156 8.165 16.307
1.712 8.092 0.022
4.567 1.545 8.790
1.199 8.165 10.416
3.279 3.386 2.700
3.347 6.076 0.117
0.610 1.545 0.117
0.421 0.014 5.170
2.246 3.561 0.022
3.328 1.213 5.919
0.610 2.986 9.025
4.635 5.676 15.115
2.505 7.786 4.891
3.279 1.145 11.607
5.409 1.275 12.924
6.716 0.896 7.399
0.629 5.744 5.919
2.505 5.806 13.798
5.156 8.079 1.306
4.379 0.014 3.738
1.198 8.079 7.601
6.203 0.970 17.792
0.629 7.848 14.826
7.717 8.873 3.666
5.917 5.172 8.817
1.960 8.420 8.997
4.154 4.342 3.666
3.760 4.720 14.148
4.154 0.189 12.574
5.955 0.641 8.817
3.760 8.873 5.241
7.717 4.720 12.574
1.998 3.889 8.997
0.197 0.189 14.148
0.197 4.342 5.241
1.998 0.641 0.090
1.960 5.172 0.090
5.917 8.420 17.725
5.955 3.889 17.725

PrSiHO4 PBE-GGA relaxed; space-group type = No. 7; uncorrected energy = -102.46 eV per cell; offset from the most stable computed form = 139 meV per atom
1.0
-7.303 1.003 1.001
0.637 -0.203 4.852
0.744 4.299 0.083
O Pr Si H
8 2 2 2
Cartesian
-2.838 1.594 3.965
-2.248 0.910 1.469
-0.390 2.533 4.728
-5.183 3.451 4.634
-4.954 1.058 1.068
-3.518 3.100 1.640
-6.389 4.332 2.439
0.129 0.332 3.894
-1.272 3.058 2.499
-5.226 1.388 3.485
1.140 3.151 4.725
-3.469 1.690 0.728
-0.193 1.213 4.414
-3.953 4.017 1.294

PrSiHO4 PBE-GGA relaxed; space-group type = No. 14; uncorrected energy = -207.23 eV per cell; offset from the most stable computed form = 56 meV per atom
1.0
5.546 0.008 0.000
-4.486 9.501 0.000
0.000 0.000 7.133
O Pr Si H
16 4 4 4
Cartesian
-0.789 4.099 3.745
0.293 2.227 5.939
-3.033 8.850 6.954
4.379 0.322 4.723
-3.319 9.187 2.410
-2.014 7.066 1.368
3.010 2.532 2.372
-1.950 6.978 4.760
-1.076 4.437 1.157
0.229 2.316 2.198
0.831 7.193 4.934
4.093 0.660 0.179
3.074 2.443 5.765
1.849 5.410 3.387
2.136 5.072 5.976
0.767 7.282 1.194
-0.466 6.315 3.011
-0.717 7.945 6.577
1.526 3.194 4.122
1.777 1.565 0.556
-3.335 7.996 1.198
4.395 1.513 5.934
2.152 6.264 4.765
-1.092 3.245 2.368
2.981 4.585 6.090
0.322 0.173 2.524
0.738 9.336 4.609
-1.921 4.924 1.042

PrSiHO4 PBE-GGA relaxed; space-group type = No. 148; uncorrected energy = -309.07 eV per cell; offset from the most stable computed form = 98 meV per atom
1.0
-8.758 -2.259 2.755
6.146 0.138 7.184
0.258 7.922 -5.154
O Pr Si H
24 6 6 6
Cartesian
-2.552 2.517 4.998
3.219 4.346 3.949
-3.455 5.660 -0.930
1.565 5.570 -0.640
2.450 6.064 2.234
-4.805 -0.263 2.549
-2.868 3.091 -0.242
0.606 4.933 3.623
-3.920 0.231 5.424
1.874 3.323 1.811
2.916 1.346 4.398
-3.120 5.030 1.671
-1.684 0.182 3.869
0.513 2.711 5.025
-0.671 5.619 0.915
1.100 0.141 5.714
-4.229 2.479 2.973
-1.743 0.721 6.649
-0.612 5.080 -1.865
-5.270 4.455 0.386
-5.574 1.455 0.835
0.197 3.284 -0.214
0.765 0.771 3.113
-2.961 0.868 1.161
-6.975 2.870 -0.249
4.620 2.932 5.033
0.006 -0.699 7.514
3.342 6.765 0.105
-5.696 -0.964 4.679
-2.361 6.500 -2.730
2.064 4.555 2.825
1.267 1.346 4.637
-2.434 0.822 5.137
0.079 4.979 -0.353
-4.419 1.246 1.959
-3.622 4.455 0.147
-2.733 1.722 0.653
-3.098 2.654 4.148
0.379 4.080 4.131
0.744 3.147 0.636
-0.234 0.611 3.230
-2.120 5.191 1.554

PrSiHO4 PBE-GGA relaxed; space-group type = No. 62; uncorrected energy = -205.80 eV per cell; offset from the most stable computed form = 107 meV per atom
1.0
4.921 0.000 0.000
0.000 9.423 0.000
0.000 0.000 6.581
Si H O Pr
4 4 16 4
Cartesian
1.066 5.037 1.645
1.395 0.325 1.645
3.526 9.097 4.936
3.855 4.386 4.936
0.000 0.000 0.000
2.460 4.711 3.291
0.000 0.000 3.291
2.460 4.711 0.000
1.860 5.710 2.928
0.515 4.106 4.936
3.061 3.712 6.219
1.168 8.137 1.645
2.975 0.605 1.645
4.406 5.316 1.645
0.601 0.999 2.928
3.061 3.712 3.653
1.860 5.710 0.362
0.601 0.999 0.362
1.293 3.426 1.645
4.320 8.424 6.219
4.320 8.424 3.653
3.753 1.285 4.936
3.628 5.997 4.936
1.946 8.818 4.936
1.473 1.997 4.936
3.933 2.714 1.645
0.988 6.709 4.936
3.448 7.425 1.645

> The highest offset from the most stable computed form belongs to which entry?

number 6